No. 1
Density functional theory data (GGA-PBE) for Cs3GdAs2 after structural relaxation.

Lattice parameters (Å, degrees): 11.7441 11.9849 9.0161 90.00 94.90 90.00
Space group C2/c (No. 15)
Symmetry-distinct sites (fractional):
Cs: 0.0000 0.1888 0.2500 (multiplicity 4)
Cs: 0.2124 0.4627 0.9819 (multiplicity 8)
Gd: 0.0000 0.2037 0.7500 (multiplicity 4)
As: 0.1851 0.2465 0.6012 (multiplicity 8)

Summary:
The value obtained for the uncorrected energy is -3.000 eV/atom.

***

No. 2
Density functional theory data (GGA-PBE) for BeNiAgSb after structural relaxation.

Lattice parameters (Å, degrees): 6.3094 6.3094 6.3094 90.00 90.00 90.00
Space group F-43m (No. 216)
Symmetry-distinct sites (fractional):
Be: 0.0000 0.0000 0.0000 (multiplicity 4)
Ni: 0.2500 0.2500 0.2500 (multiplicity 4)
Ag: 0.2500 0.2500 0.7500 (multiplicity 4)
Sb: 0.0000 0.0000 0.5000 (multiplicity 4)

Summary:
Its energy above the lowest structure with this stoichiometry is 37 meV/atom.

***

No. 3
Density functional theory data (GGA-PBE) for NbFeAgB after structural relaxation.

Lattice parameters (Å, degrees): 5.9624 5.9624 5.9624 90.00 90.00 90.00
Space group F-43m (No. 216)
Symmetry-distinct sites (fractional):
Nb: 0.0000 0.0000 0.0000 (multiplicity 4)
Fe: 0.0000 0.0000 0.5000 (multiplicity 4)
Ag: 0.2500 0.2500 0.7500 (multiplicity 4)
B: 0.2500 0.2500 0.2500 (multiplicity 4)

Summary:
Its energy above the lowest structure with this stoichiometry is 0 meV/atom.

***

No. 4
Density functional theory data (GGA-PBE) for LaNbPO after structural relaxation.

Lattice parameters (Å, degrees): 4.1910 4.1910 7.9529 90.00 90.00 90.00
Space group P4/nmm (No. 129, origin choice 2)
Symmetry-distinct sites (fractional):
La: 0.2500 0.7500 0.0000 (multiplicity 2)
Nb: 0.2500 0.2500 0.4114 (multiplicity 2)
P: 0.2500 0.2500 0.7399 (multiplicity 2)
O: 0.2500 0.7500 0.5000 (multiplicity 2)

Summary:
Its energy above the lowest structure with this stoichiometry is 1254 meV/atom.

***

No. 5
Density functional theory data (GGA-PBE) for KNbAuS3 after structural relaxation.

Lattice parameters (Å, degrees): 3.5906 15.0196 9.8023 90.00 90.00 90.00
Space group Cmcm (No. 63)
Symmetry-distinct sites (fractional):
K: 0.0000 0.2488 0.2500 (multiplicity 4)
Nb: 0.0000 0.5000 0.0000 (multiplicity 4)
Au: 0.0000 0.0551 0.7500 (multiplicity 4)
S: 0.0000 0.1200 0.5286 (multiplicity 8)
S: 0.0000 0.4297 0.7500 (multiplicity 4)

Summary:
The value obtained for the uncorrected energy is -5.154 eV/atom.

***

No. 6
Density functional theory data (GGA-PBE) for BaGa2Cu2 after structural relaxation.

Lattice parameters (Å, degrees): 4.4583 4.4583 10.8055 90.00 90.00 90.00
Space group I4/mmm (No. 139)
Symmetry-distinct sites (fractional):
Ba: 0.0000 0.0000 0.0000 (multiplicity 2)
Ga: 0.0000 0.0000 0.3515 (multiplicity 4)
Cu: 0.0000 0.5000 0.2500 (multiplicity 4)

Summary:
The value obtained for the uncorrected energy is -3.321 eV/atom.

***

No. 7
Density functional theory data (GGA-PBE) for NaPuTc after structural relaxation.

Lattice parameters (Å, degrees): 6.5187 6.5187 6.5187 90.00 90.00 90.00
Space group F-43m (No. 216)
Symmetry-distinct sites (fractional):
Na: 0.0000 0.0000 0.0000 (multiplicity 4)
Pu: 0.2500 0.2500 0.2500 (multiplicity 4)
Tc: 0.0000 0.0000 0.5000 (multiplicity 4)

Summary:
The value obtained for the uncorrected energy is -7.377 eV/atom.

***

No. 8
Density functional theory data (GGA-PBE) for AgTePtO after structural relaxation.

Lattice parameters (Å, degrees): 6.6419 10.9094 8.4642 90.00 90.00 90.00
Space group Pbca (No. 61)
Symmetry-distinct sites (fractional):
Ag: 0.2410 0.1000 0.0195 (multiplicity 8)
Te: 0.0012 0.5408 0.7551 (multiplicity 8)
Pt: 0.0033 0.7103 0.2489 (multiplicity 8)
O: 0.2473 0.2105 0.3815 (multiplicity 8)

Summary:
Its energy above the lowest structure with this stoichiometry is 116 meV/atom.